DFT (GGA-PBE) results for an optimized crystal structure of Pm2InPd9.

Unit cell a=4.163 b=4.163 c=12.277 alpha=90.00 beta=90.00 gamma=90.00
Sites, in units of the cell vectors:
Pm 0.000 0.000 0.173
Pm 0.000 0.000 0.827
In 0.000 0.000 0.500
Pd 0.000 0.500 0.000
Pd 0.000 0.500 0.343
Pd 0.000 0.500 0.657
Pd 0.500 0.000 0.000
Pd 0.500 0.000 0.343
Pd 0.500 0.000 0.657
Pd 0.500 0.500 0.171
Pd 0.500 0.500 0.500
Pd 0.500 0.500 0.829

Energy relative to the lowest polymorph listed for this composition ... 0.000 eV/atom
Energy of formation ... -0.67 eV per atom